Entry 1:
A relaxed Sr2CuIr crystal. Source: Alexandria via LeMat-Bulk, functional PBE.

Geometry as POSCAR:
```
Sr2CuIr
1.0
-2.221 2.221 4.856
2.221 -2.221 4.856
2.221 2.221 -4.856
Sr Cu Ir
2 1 1
Direct
0.000 0.000 0.000
0.750 0.250 0.500
0.250 0.750 0.500
0.500 0.500 0.000
```

Output
The calculation puts the formation energy at 73 kJ/mol of formula units. Its total energy is -3.8913 eV per atom. As for the crystal system: tetragonal.



Entry 2:
A relaxed Ta2InSe2 crystal. Source: Alexandria via LeMat-Bulk, functional PBE.

Geometry as POSCAR:
```
Ta2InSe2
1.0
-2.539 2.539 4.263
2.539 -2.539 4.263
2.539 2.539 -4.263
Ta In Se
2 1 2
Direct
0.146 0.146 0.000
0.854 0.854 0.000
0.500 0.500 0.000
0.250 0.750 0.500
0.750 0.250 0.500
```

Output
For the energy relative to the elements, uncorrected, the calculation gives 0.4 eV/f.u. Its total energy is -6.6114 eV per atom. As for the crystal system: tetragonal.



Entry 3:
A relaxed Au2BrCl crystal. Source: Alexandria via LeMat-Bulk, functional PBE.

Geometry as POSCAR:
```
Au2BrCl
1.0
3.474 -3.488 0.000
3.474 3.488 0.000
0.000 0.000 3.524
Au Br Cl
2 1 1
Direct
0.000 0.500 0.000
0.500 0.000 0.000
0.000 0.000 0.500
0.500 0.500 0.500
```

Output
For the energy relative to the elements, uncorrected, the calculation gives 1.5 eV/f.u. Its total energy is -2.1346 eV per atom. As for the crystal system: orthorhombic.



Entry 4:
A relaxed RbGe3Pb3 crystal. Source: Alexandria via LeMat-Bulk, functional PBE.

Geometry as POSCAR:
```
RbGe3Pb3
1.0
7.984 0.000 0.000
0.000 7.984 0.000
0.000 0.000 7.984
Rb Ge Pb
2 6 6
Direct
0.000 0.000 0.000
0.500 0.500 0.500
0.000 0.250 0.500
0.000 0.750 0.500
0.250 0.500 0.000
0.500 0.000 0.250
0.500 0.000 0.750
0.750 0.500 0.000
0.000 0.500 0.250
0.000 0.500 0.750
0.250 0.000 0.500
0.500 0.250 0.000
0.500 0.750 0.000
0.750 0.000 0.500
```

Output
The calculation puts the formation energy at 104 kJ/mol of formula units. Its total energy is -3.5528 eV per atom. As for the crystal system: cubic.



Entry 5:
A relaxed LaPmNi2H8 crystal. Source: Alexandria via LeMat-Bulk, functional PBE.

Geometry as POSCAR:
```
LaPmNi2H8
1.0
2.270 1.311 6.586
-2.270 1.311 6.586
0.000 -2.621 6.586
La Pm Ni H
1 1 2 8
Direct
0.000 0.000 0.000
0.500 0.500 0.500
0.255 0.255 0.255
0.745 0.745 0.745
0.040 0.040 0.590
0.040 0.590 0.040
0.336 0.336 0.336
0.410 0.960 0.960
0.590 0.040 0.040
0.664 0.664 0.664
0.960 0.410 0.960
0.960 0.960 0.410
```

Output
Its total energy is -4.3357 eV per atom. As for the crystal system: trigonal.



Entry 6:
A relaxed BaPuO3 crystal. Source: Alexandria via LeMat-Bulk, functional PBE.

Geometry as POSCAR:
```
BaPuO3
1.0
6.202 0.000 0.000
0.000 8.756 0.000
0.000 0.000 6.242
Ba Pu O
4 4 12
Direct
0.012 0.250 0.006
0.488 0.750 0.506
0.512 0.250 0.494
0.988 0.750 0.994
0.000 0.000 0.500
0.000 0.500 0.500
0.500 0.000 0.000
0.500 0.500 0.000
0.008 0.750 0.431
0.234 0.537 0.765
0.234 0.963 0.765
0.266 0.037 0.265
0.266 0.463 0.265
0.492 0.250 0.931
0.508 0.750 0.069
0.734 0.537 0.735
0.734 0.963 0.735
0.766 0.037 0.235
0.766 0.463 0.235
0.992 0.250 0.569
```

Output
For the energy relative to the elements, uncorrected, the calculation gives -15.0 eV/f.u. Its total energy is -9.2186 eV per atom. As for the crystal system: orthorhombic.



Entry 7:
A relaxed NaTb2Tm crystal. Source: Alexandria via LeMat-Bulk, functional PBE.

Geometry as POSCAR:
```
NaTb2Tm
1.0
1.744 1.007 12.628
-1.744 1.007 12.628
0.000 -2.014 12.628
Na Tb Tm
1 2 1
Direct
0.000 0.000 0.000
0.093 0.093 0.093
0.907 0.907 0.907
0.500 0.500 0.500
```

Output
The calculation puts the formation energy at 58 kJ/mol of formula units. Its total energy is -3.6130 eV per atom. As for the crystal system: trigonal.



Entry 8:
A relaxed Dy12Tm5Th crystal. Source: Alexandria via LeMat-Bulk, functional PBE.

Geometry as POSCAR:
```
Dy12Tm5Th
1.0
3.065 -5.311 0.000
3.065 5.311 0.000
-2.038 0.000 17.173
Dy Tm Th
12 5 1
Direct
0.056 0.723 0.666
0.114 0.445 0.834
0.223 0.223 0.166
0.277 0.944 0.334
0.389 0.389 0.666
0.445 0.114 0.834
0.555 0.886 0.166
0.611 0.611 0.334
0.723 0.056 0.666
0.777 0.777 0.834
0.886 0.555 0.166
0.944 0.277 0.334
0.000 0.000 0.500
0.167 0.833 0.000
0.334 0.666 0.500
0.666 0.334 0.500
0.833 0.167 0.000
0.500 0.500 0.000
```

Output
The calculation puts the formation energy at 19 kJ/mol of formula units. Its total energy is -4.7112 eV per atom. As for the crystal system: monoclinic.



Entry 9:
A relaxed Pm2AuSe crystal. Source: Alexandria via LeMat-Bulk, functional PBE.

Geometry as POSCAR:
```
Pm2AuSe
1.0
2.042 1.179 7.683
-2.042 1.179 7.683
0.000 -2.358 7.683
Pm Au Se
2 1 1
Direct
0.000 0.000 0.000
0.171 0.171 0.171
0.584 0.584 0.584
0.753 0.753 0.753
```

Output
For the energy relative to the elements, uncorrected, the calculation gives -4.8 eV/f.u. Its total energy is -5.2587 eV per atom. As for the crystal system: trigonal.



Entry 10:
A relaxed LaTbGa2Ir2 crystal. Source: Alexandria via LeMat-Bulk, functional PBE.

Geometry as POSCAR:
```
LaTbGa2Ir2
1.0
4.406 0.000 0.000
-2.203 3.816 0.000
0.000 0.000 7.542
La Tb Ga Ir
1 1 2 2
Direct
0.000 0.000 0.000
0.000 0.000 0.500
0.333 0.667 0.273
0.667 0.333 0.727
0.333 0.667 0.730
0.667 0.333 0.270
```

Output
The calculation puts the formation energy at -453 kJ/mol of formula units. Its total energy is -6.3382 eV per atom. As for the crystal system: trigonal.



Entry 11:
A relaxed Th4Te2PPt crystal. Source: Alexandria via LeMat-Bulk, functional PBE.

Geometry as POSCAR:
```
Th4Te2PPt
1.0
7.506 0.000 0.000
0.000 4.185 0.000
-2.409 0.000 7.408
Th Te P Pt
4 2 1 1
Direct
0.230 0.000 0.212
0.267 0.500 0.789
0.733 0.500 0.211
0.770 0.000 0.788
0.000 0.000 0.500
0.500 0.500 0.500
0.000 0.500 0.000
0.500 0.000 0.000
```

Output
For the energy relative to the elements, uncorrected, the calculation gives -10.0 eV/f.u. Its total energy is -7.1821 eV per atom. As for the crystal system: monoclinic.



Entry 12:
A relaxed PrDy4Tl crystal. Source: Alexandria via LeMat-Bulk, functional PBE.

Geometry as POSCAR:
```
PrDy4Tl
1.0
3.617 0.000 0.000
0.000 3.617 0.000
0.000 0.000 14.301
Pr Dy Tl
1 4 1
Direct
0.000 0.000 0.000
0.000 0.000 0.353
0.000 0.000 0.647
0.500 0.500 0.180
0.500 0.500 0.820
0.500 0.500 0.500
```

Output
The calculation puts the formation energy at -59 kJ/mol of formula units. Its total energy is -4.3617 eV per atom. As for the crystal system: tetragonal.